(1)
Compound: Rb2ZrCdS4
Source: Alexandria via LeMat-Bulk
Functional: PBE
Structure: relaxed

The structure in CIF format:
```
data_Rb2ZrCdS4
_symmetry_space_group_name_H-M 'P 1 2/m 1'
_symmetry_Int_Tables_number 10
_cell_length_a 7.0820
_cell_length_b 3.9083
_cell_length_c 7.9569
_cell_angle_alpha 90.00
_cell_angle_beta 108.31
_cell_angle_gamma 90.00
loop_
_symmetry_equiv_pos_as_xyz
'x,y,z'
'-x,-y,-z'
'-x,y,-z'
'x,-y,z'
loop_
_atom_site_label
_atom_site_type_symbol
_atom_site_fract_x
_atom_site_fract_y
_atom_site_fract_z
Rb1 Rb 0.0000 0.0000 0.0000
Rb2 Rb 0.5000 0.5000 0.0000
Zr1 Zr 0.0000 0.5000 0.5000
Cd1 Cd 0.5000 0.0000 0.5000
S1 S 0.2041 0.0000 0.6942
S2 S 0.2564 0.5000 0.3226
```

Properties
- ρ: 3.99 g/cm³
- Uncorrected formation energy: -1.1822 eV per atom
- Electronic total energy: -4.67 eV per atom
- Magnetic moment: 0.00 μB/f.u.

=====

(2)
Compound: RbCdSb
Source: Alexandria via LeMat-Bulk
Functional: PBE
Structure: relaxed

The structure in CIF format:
```
data_RbCdSb
_symmetry_space_group_name_H-M 'C 1 2/m 1'
_symmetry_Int_Tables_number 12
_cell_length_a 12.2765
_cell_length_b 5.3294
_cell_length_c 8.5762
_cell_angle_alpha 90.00
_cell_angle_beta 133.38
_cell_angle_gamma 90.00
loop_
_symmetry_equiv_pos_as_xyz
'x,y,z'
'-x,-y,-z'
'-x,y,-z'
'x,-y,z'
'x+1/2,y+1/2,z'
'-x+1/2,-y+1/2,-z'
'-x+1/2,y+1/2,-z'
'x+1/2,-y+1/2,z'
loop_
_atom_site_label
_atom_site_type_symbol
_atom_site_fract_x
_atom_site_fract_y
_atom_site_fract_z
Rb1 Rb 0.2454 0.0000 0.3211
Cd1 Cd 0.0810 0.0000 0.7299
Sb1 Sb 0.0737 0.5000 0.9172
```

Properties
- ρ: 5.21 g/cm³
- Uncorrected formation energy: -0.2951 eV per atom
- Electronic total energy: -2.30 eV per atom
- Magnetic moment: 0.00 μB/f.u.

=====

(3)
Compound: RbCdSb4
Source: Alexandria via LeMat-Bulk
Functional: PBE
Structure: relaxed

The structure in CIF format:
```
data_RbCdSb4
_symmetry_space_group_name_H-M 'F -4 3 m'
_symmetry_Int_Tables_number 216
_symmetry_space_group_name_Hall 'F -4 2 3'
_cell_length_a 9.4318
_cell_length_b 9.4318
_cell_length_c 9.4318
_cell_angle_alpha 90.00
_cell_angle_beta 90.00
_cell_angle_gamma 90.00
loop_
_atom_site_label
_atom_site_type_symbol
_atom_site_fract_x
_atom_site_fract_y
_atom_site_fract_z
Rb1 Rb 0.0000 0.0000 0.0000
Cd1 Cd 0.2500 0.2500 0.7500
Sb1 Sb 0.1119 0.1119 0.3881
```

Properties
- ρ: 5.42 g/cm³
- Uncorrected formation energy: 0.0346 eV per atom
- Electronic total energy: -3.03 eV per atom
- Magnetic moment: 0.01 μB/f.u.

=====

(4)
Compound: RbCd2Sb2
Source: Alexandria via LeMat-Bulk
Functional: PBE
Structure: relaxed

The structure in CIF format:
```
data_RbCd2Sb2
_symmetry_space_group_name_H-M 'P 4/m b m'
_symmetry_Int_Tables_number 127
_symmetry_space_group_name_Hall '-P 4 2ab'
_cell_length_a 9.1981
_cell_length_b 9.1981
_cell_length_c 3.5566
_cell_angle_alpha 90.00
_cell_angle_beta 90.00
_cell_angle_gamma 90.00
loop_
_atom_site_label
_atom_site_type_symbol
_atom_site_fract_x
_atom_site_fract_y
_atom_site_fract_z
Rb1 Rb 0.0000 0.0000 0.0000
Cd1 Cd 0.1436 0.3564 0.5000
Sb1 Sb 0.1461 0.6461 0.0000
```

Properties
- ρ: 6.11 g/cm³
- Uncorrected formation energy: -0.0436 eV per atom
- E above lowest polymorph: 21.8 kJ/mol of atoms
- Electronic total energy: -2.25 eV per atom
- Magnetic moment: 0.00 μB/f.u.

=====

(5)
Compound: RbCd3Sb2
Source: Alexandria via LeMat-Bulk
Functional: PBE
Structure: relaxed

The structure in CIF format:
```
data_RbCd3Sb2
_symmetry_space_group_name_H-M 'P -1'
_symmetry_Int_Tables_number 2
_cell_length_a 4.9290
_cell_length_b 9.3575
_cell_length_c 10.0918
_cell_angle_alpha 114.66
_cell_angle_beta 101.22
_cell_angle_gamma 97.88
loop_
_symmetry_equiv_pos_as_xyz
'x,y,z'
'-x,-y,-z'
loop_
_atom_site_label
_atom_site_type_symbol
_atom_site_fract_x
_atom_site_fract_y
_atom_site_fract_z
Rb1 Rb 0.1633 0.2364 0.4596
Cd1 Cd 0.1239 0.4648 0.1754
Cd2 Cd 0.2347 0.9534 0.0502
Cd3 Cd 0.3516 0.2639 0.9006
Sb1 Sb 0.2300 0.8089 0.2695
Sb2 Sb 0.3930 0.6856 0.7902
```

Properties
- ρ: 5.50 g/cm³
- Uncorrected formation energy: -0.1879 eV per atom
- Electronic total energy: -2.18 eV per atom
- Magnetic moment: 0.00 μB/f.u.

=====

(6)
Compound: Rb2CdSb
Source: Alexandria via LeMat-Bulk
Functional: PBE
Structure: relaxed

The structure in CIF format:
```
data_Rb2CdSb
_symmetry_space_group_name_H-M 'C 1 2/c 1'
_symmetry_Int_Tables_number 15
_cell_length_a 12.7522
_cell_length_b 5.7936
_cell_length_c 12.3215
_cell_angle_alpha 90.00
_cell_angle_beta 118.81
_cell_angle_gamma 90.00
loop_
_symmetry_equiv_pos_as_xyz
'x,y,z'
'-x,-y,-z'
'-x,y,-z+1/2'
'x,-y,z+1/2'
'x+1/2,y+1/2,z'
'-x+1/2,-y+1/2,-z'
'-x+1/2,y+1/2,-z+1/2'
'x+1/2,-y+1/2,z+1/2'
loop_
_atom_site_label
_atom_site_type_symbol
_atom_site_fract_x
_atom_site_fract_y
_atom_site_fract_z
Rb1 Rb 0.1781 0.0636 0.0931
Cd1 Cd 0.0000 0.3220 0.2500
Sb1 Sb 0.0000 0.1795 0.7500
```

Properties
- ρ: 3.37 g/cm³
- Uncorrected formation energy: -0.2633 eV per atom
- E above lowest polymorph: 0.0 kJ/mol of atoms
- Electronic total energy: -2.01 eV per atom
- Magnetic moment: 0.00 μB/f.u.

=====

(7)
Compound: RbCd2Sb2
Source: Alexandria via LeMat-Bulk
Functional: PBE
Structure: relaxed

The structure in CIF format:
```
data_RbCd2Sb2
_symmetry_space_group_name_H-M 'I 4/m m m'
_symmetry_Int_Tables_number 139
_symmetry_space_group_name_Hall '-I 4 2'
_cell_length_a 4.9625
_cell_length_b 4.9625
_cell_length_c 12.8159
_cell_angle_alpha 90.00
_cell_angle_beta 90.00
_cell_angle_gamma 90.00
loop_
_atom_site_label
_atom_site_type_symbol
_atom_site_fract_x
_atom_site_fract_y
_atom_site_fract_z
Rb1 Rb 0.0000 0.0000 0.0000
Cd1 Cd 0.0000 0.0000 0.3910
Sb1 Sb 0.0000 0.5000 0.2500
```

Properties
- ρ: 5.83 g/cm³
- Uncorrected formation energy: -0.1883 eV per atom
- E above lowest polymorph: 7.8 kJ/mol of atoms
- Electronic total energy: -2.40 eV per atom
- Magnetic moment: 0.00 μB/f.u.

=====

(8)
Compound: Rb3Cd2Sb2
Source: Alexandria via LeMat-Bulk
Functional: PBE
Structure: relaxed

The structure in CIF format:
```
data_Rb3Cd2Sb2
_symmetry_space_group_name_H-M 'P b c m'
_symmetry_Int_Tables_number 57
_cell_length_a 7.0181
_cell_length_b 10.3189
_cell_length_c 15.4756
_cell_angle_alpha 90.00
_cell_angle_beta 90.00
_cell_angle_gamma 90.00
loop_
_symmetry_equiv_pos_as_xyz
'x,y,z'
'-x,-y,-z'
'-x,-y,z+1/2'
'x,y,-z+1/2'
'x,-y+1/2,-z'
'-x,y+1/2,z'
'-x,y+1/2,-z+1/2'
'x,-y+1/2,z+1/2'
loop_
_atom_site_label
_atom_site_type_symbol
_atom_site_fract_x
_atom_site_fract_y
_atom_site_fract_z
Rb1 Rb 0.1095 0.1435 0.1100
Rb2 Rb 0.3338 0.7210 0.7500
Cd1 Cd 0.3822 0.0234 0.5837
Sb1 Sb 0.1934 0.0643 0.7500
Sb2 Sb 0.3972 0.7500 0.0000
```

Properties
- ρ: 4.30 g/cm³
- Uncorrected formation energy: -0.3096 eV per atom
- Electronic total energy: -2.16 eV per atom
- Magnetic moment: 0.00 μB/f.u.

=====

(9)
Compound: Rb3Cd2Sb4
Source: Alexandria via LeMat-Bulk
Functional: PBE
Structure: relaxed

The structure in CIF format:
```
data_Rb3Cd2Sb4
_symmetry_space_group_name_H-M 'C 1 2/m 1'
_symmetry_Int_Tables_number 12
_cell_length_a 15.3849
_cell_length_b 4.6001
_cell_length_c 9.9475
_cell_angle_alpha 90.00
_cell_angle_beta 106.79
_cell_angle_gamma 90.00
loop_
_symmetry_equiv_pos_as_xyz
'x,y,z'
'-x,-y,-z'
'-x,y,-z'
'x,-y,z'
'x+1/2,y+1/2,z'
'-x+1/2,-y+1/2,-z'
'-x+1/2,y+1/2,-z'
'x+1/2,-y+1/2,z'
loop_
_atom_site_label
_atom_site_type_symbol
_atom_site_fract_x
_atom_site_fract_y
_atom_site_fract_z
Rb1 Rb 0.0000 0.0000 0.0000
Rb2 Rb 0.0938 0.5000 0.6790
Cd1 Cd 0.2217 0.5000 0.3671
Sb1 Sb 0.1140 0.0000 0.3885
Sb2 Sb 0.2099 0.5000 0.0558
```

Properties
- ρ: 4.77 g/cm³
- Uncorrected formation energy: -0.3043 eV per atom
- Electronic total energy: -2.66 eV per atom
- Magnetic moment: 0.00 μB/f.u.

=====

(10)
Compound: RbCdSb
Source: Alexandria via LeMat-Bulk
Functional: PBE
Structure: relaxed

The structure in CIF format:
```
data_RbCdSb
_symmetry_space_group_name_H-M 'I 4/m m m'
_symmetry_Int_Tables_number 139
_symmetry_space_group_name_Hall '-I 4 2'
_cell_length_a 13.3907
_cell_length_b 13.3907
_cell_length_c 5.5521
_cell_angle_alpha 90.00
_cell_angle_beta 90.00
_cell_angle_gamma 90.00
loop_
_atom_site_label
_atom_site_type_symbol
_atom_site_fract_x
_atom_site_fract_y
_atom_site_fract_z
Rb1 Rb 0.0000 0.2289 0.0000
Cd1 Cd 0.2181 0.2181 0.5000
Sb1 Sb 0.0000 0.3961 0.5000
```

Properties
- ρ: 4.27 g/cm³
- Uncorrected formation energy: -0.0153 eV per atom
- Electronic total energy: -2.02 eV per atom
- Magnetic moment: 0.00 μB/f.u.

=====

- Look up the ρ of the third one.
  5.42 g/cm³

=====

- uncorrected formation energy of number 4 (RbCd2Sb2)?
  -0.0436 eV per atom

=====

- Which of these has the lowest electronic total energy?
  Rb2ZrCdS4

=====

Copy entry 4 word for word.
Compound: RbCd2Sb2
Source: Alexandria via LeMat-Bulk
Functional: PBE
Structure: relaxed

The structure in CIF format:
```
data_RbCd2Sb2
_symmetry_space_group_name_H-M 'P 4/m b m'
_symmetry_Int_Tables_number 127
_symmetry_space_group_name_Hall '-P 4 2ab'
_cell_length_a 9.1981
_cell_length_b 9.1981
_cell_length_c 3.5566
_cell_angle_alpha 90.00
_cell_angle_beta 90.00
_cell_angle_gamma 90.00
loop_
_atom_site_label
_atom_site_type_symbol
_atom_site_fract_x
_atom_site_fract_y
_atom_site_fract_z
Rb1 Rb 0.0000 0.0000 0.0000
Cd1 Cd 0.1436 0.3564 0.5000
Sb1 Sb 0.1461 0.6461 0.0000
```

Properties
- ρ: 6.11 g/cm³
- Uncorrected formation energy: -0.0436 eV per atom
- E above lowest polymorph: 21.8 kJ/mol of atoms
- Electronic total energy: -2.25 eV per atom
- Magnetic moment: 0.00 μB/f.u.